No. 1
IrPtI2: PBEsol geometry, SCAN.

Properties
- N(E_F): 7.59 states/eV per cell
- Space-group type: I-42d (122)
- Raw formation energy: 735 meV per atom

abc: 6.143 6.143 7.101
angles: 115.63 115.63 90.00
Fractional coordinates of all 8 atoms:
I 0.385 0.875 0.250
I 0.865 0.375 0.250
I 0.125 0.135 0.750
I 0.625 0.615 0.750
Ir 0.750 0.250 0.500
Ir 0.500 0.500 0.000
Pt 0.250 0.750 0.500
Pt 0.000 0.000 0.000

---

No. 2
TeIrPtI2: PBEsol geometry, SCAN.

Properties
- N(E_F): 4.17 states/eV per cell
- Space-group type: P4/mmm (123)
- Raw formation energy: 1284 meV per atom

abc: 5.194 5.248 5.248
angles: 90.00 90.00 90.00
Fractional coordinates of all 5 atoms:
I 0.000 0.000 0.500
I 0.000 0.500 0.000
Ir 0.500 0.500 0.500
Te 0.500 0.000 0.000
Pt 0.000 0.000 0.000

---

No. 3
RbIrI2: PBEsol geometry, SCAN.

Properties
- N(E_F): 2.54 states/eV per cell
- Space-group type: Fm-3m (225)
- Raw formation energy: 577 meV per atom

abc: 5.386 5.386 5.386
angles: 60.00 60.00 60.00
Fractional coordinates of all 4 atoms:
I 0.250 0.250 0.250
I 0.750 0.750 0.750
Ir 0.500 0.500 0.500
Rb 0.000 0.000 0.000

---

No. 4
Rb3IrI: PBEsol geometry, SCAN.

Properties
- Energy relative to the lowest polymorph listed for this composition: 0.0 meV per atom
- N(E_F): 1.98 states/eV per cell
- Space-group type: Pm-3m (221)
- Raw formation energy: 23 meV per atom

abc: 6.100 6.100 6.100
angles: 90.00 90.00 90.00
Fractional coordinates of all 5 atoms:
I 0.500 0.500 0.500
Ir 0.000 0.000 0.000
Rb 0.000 0.500 0.000
Rb 0.000 0.000 0.500
Rb 0.500 0.000 0.000

---

No. 5
ReIr3I: PBEsol geometry, SCAN.

Properties
- N(E_F): 5.53 states/eV per cell
- Space-group type: Pm-3m (221)
- Raw formation energy: 1923 meV per atom

abc: 4.739 4.739 4.739
angles: 90.00 90.00 90.00
Fractional coordinates of all 5 atoms:
I 0.500 0.500 0.500
Re 0.000 0.000 0.000
Ir 0.000 0.500 0.000
Ir 0.000 0.000 0.500
Ir 0.500 0.000 0.000

---

No. 6
IrS2I: PBEsol geometry, SCAN.

Properties
- N(E_F): 3.91 states/eV per cell
- Space-group type: I-42d (122)
- Raw formation energy: 190 meV per atom

abc: 6.370 6.370 6.370
angles: 85.53 62.54 117.46
Fractional coordinates of all 8 atoms:
I 0.000 0.500 0.500
I 0.500 0.750 0.750
S 0.903 0.278 0.125
S 0.097 0.972 0.625
S 0.597 0.625 0.278
S 0.403 0.125 0.972
Ir 0.000 0.000 0.000
Ir 0.500 0.250 0.250

---

No. 7
Ir2SI: PBEsol geometry, SCAN.

Properties
- N(E_F): 6.29 states/eV per cell
- Space-group type: I-42d (122)
- Raw formation energy: 387 meV per atom

abc: 4.788 4.788 7.768
angles: 107.95 107.95 90.00
Fractional coordinates of all 8 atoms:
I 0.250 0.750 0.500
I 0.000 0.000 0.000
S 0.750 0.250 0.500
S 0.500 0.500 0.000
Ir 0.477 0.875 0.250
Ir 0.773 0.375 0.250
Ir 0.125 0.227 0.750
Ir 0.625 0.523 0.750

---

No. 8
TaSb2IrI: PBEsol geometry, SCAN.

Properties
- N(E_F): 5.31 states/eV per cell
- Space-group type: P4/mmm (123)
- Raw formation energy: 1280 meV per atom

abc: 5.026 5.026 5.293
angles: 90.00 90.00 90.00
Fractional coordinates of all 5 atoms:
I 0.000 0.000 0.500
Sb 0.000 0.500 0.000
Sb 0.500 0.000 0.000
Ir 0.000 0.000 0.000
Ta 0.500 0.500 0.500

---

No. 9
SbTe2IrI: PBEsol geometry, SCAN.

Properties
- N(E_F): 3.82 states/eV per cell
- Space-group type: P4/mmm (123)
- Raw formation energy: 1525 meV per atom

abc: 5.616 5.616 5.610
angles: 90.00 90.00 90.00
Fractional coordinates of all 5 atoms:
I 0.000 0.000 0.500
Sb 0.000 0.000 0.000
Ir 0.500 0.500 0.500
Te 0.000 0.500 0.000
Te 0.500 0.000 0.000

---

No. 10
TiSb2IrI: PBEsol geometry, SCAN.

Properties
- N(E_F): 3.64 states/eV per cell
- Space-group type: P4/mmm (123)
- Raw formation energy: 635 meV per atom

abc: 5.051 5.051 5.485
angles: 90.00 90.00 90.00
Fractional coordinates of all 5 atoms:
I 0.000 0.000 0.500
Sb 0.000 0.500 0.000
Sb 0.500 0.000 0.000
Ir 0.000 0.000 0.000
Ti 0.500 0.500 0.500

---

No. 11
SbIrWI2: PBEsol geometry, SCAN.

Properties
- N(E_F): 5.01 states/eV per cell
- Space-group type: P4/mmm (123)
- Raw formation energy: 1633 meV per atom

abc: 4.988 5.334 5.334
angles: 90.00 90.00 90.00
Fractional coordinates of all 5 atoms:
I 0.000 0.000 0.500
I 0.000 0.500 0.000
Sb 0.500 0.000 0.000
Ir 0.000 0.000 0.000
W 0.500 0.500 0.500

---

No. 12
ZnSbIrI2: PBEsol geometry, SCAN.

Properties
- N(E_F): 4.45 states/eV per cell
- Space-group type: P4/mmm (123)
- Raw formation energy: 1384 meV per atom

abc: 5.162 5.162 5.140
angles: 90.00 90.00 90.00
Fractional coordinates of all 5 atoms:
I 0.000 0.500 0.000
I 0.500 0.000 0.000
Sb 0.000 0.000 0.500
Zn 0.000 0.000 0.000
Ir 0.500 0.500 0.500

---

No. 13
Sc3IrI: PBEsol geometry, SCAN.

Properties
- N(E_F): 5.02 states/eV per cell
- Space-group type: Pm-3m (221)
- Raw formation energy: -474 meV per atom

abc: 5.057 5.057 5.057
angles: 90.00 90.00 90.00
Fractional coordinates of all 5 atoms:
I 0.500 0.500 0.500
Sc 0.000 0.500 0.000
Sc 0.000 0.000 0.500
Sc 0.500 0.000 0.000
Ir 0.000 0.000 0.000

---

No. 14
ScIrI3: PBEsol geometry, SCAN.

Properties
- N(E_F): 4.47 states/eV per cell
- Space-group type: Pm-3m (221)
- Raw formation energy: 458 meV per atom

abc: 5.556 5.556 5.556
angles: 90.00 90.00 90.00
Fractional coordinates of all 5 atoms:
I 0.000 0.500 0.000
I 0.000 0.000 0.500
I 0.500 0.000 0.000
Sc 0.000 0.000 0.000
Ir 0.500 0.500 0.500

---

No. 15
Ir3SeI: PBEsol geometry, SCAN.

Properties
- N(E_F): 5.99 states/eV per cell
- Space-group type: Pm-3m (221)
- Raw formation energy: 2404 meV per atom

abc: 4.814 4.814 4.814
angles: 90.00 90.00 90.00
Fractional coordinates of all 5 atoms:
I 0.000 0.000 0.000
Ir 0.000 0.500 0.000
Ir 0.000 0.000 0.500
Ir 0.500 0.000 0.000
Se 0.500 0.500 0.500

---

No. 16
SrIrSeI2: PBEsol geometry, SCAN.

Properties
- N(E_F): 3.69 states/eV per cell
- Space-group type: P4/mmm (123)
- Raw formation energy: 686 meV per atom

abc: 5.786 6.161 6.161
angles: 90.00 90.00 90.00
Fractional coordinates of all 5 atoms:
I 0.000 0.000 0.500
I 0.000 0.500 0.000
Sr 0.000 0.000 0.000
Ir 0.500 0.500 0.500
Se 0.500 0.000 0.000

---

No. 17
Te2IrSeI: PBEsol geometry, SCAN.

Properties
- N(E_F): 5.29 states/eV per cell
- Space-group type: P4/mmm (123)
- Raw formation energy: 1543 meV per atom

abc: 5.344 5.344 5.250
angles: 90.00 90.00 90.00
Fractional coordinates of all 5 atoms:
I 0.000 0.000 0.500
Ir 0.500 0.500 0.500
Te 0.000 0.500 0.000
Te 0.500 0.000 0.000
Se 0.000 0.000 0.000

---

No. 18
SiIrI3: PBEsol geometry, SCAN.

Properties
- N(E_F): 4.29 states/eV per cell
- Space-group type: Pm-3m (221)
- Raw formation energy: 1337 meV per atom

abc: 5.315 5.315 5.315
angles: 90.00 90.00 90.00
Fractional coordinates of all 5 atoms:
I 0.000 0.500 0.000
I 0.000 0.000 0.500
I 0.500 0.000 0.000
Si 0.000 0.000 0.000
Ir 0.500 0.500 0.500

---

No. 19
SrTe2IrI: PBEsol geometry, SCAN.

Properties
- N(E_F): 6.57 states/eV per cell
- Space-group type: P4/mmm (123)
- Raw formation energy: 1105 meV per atom

abc: 5.959 6.032 6.032
angles: 90.00 90.00 90.00
Fractional coordinates of all 5 atoms:
I 0.500 0.000 0.000
Sr 0.000 0.000 0.000
Ir 0.500 0.500 0.500
Te 0.000 0.000 0.500
Te 0.000 0.500 0.000

---

No. 20
Sr2ZrIrI: PBEsol geometry, SCAN.

Properties
- N(E_F): 4.90 states/eV per cell
- Space-group type: P4/mmm (123)
- Raw formation energy: 740 meV per atom

abc: 4.928 5.950 5.950
angles: 90.00 90.00 90.00
Fractional coordinates of all 5 atoms:
I 0.000 0.000 0.000
Sr 0.000 0.000 0.500
Sr 0.000 0.500 0.000
Ir 0.500 0.000 0.000
Zr 0.500 0.500 0.500